# 1
VASP calculation (PBE) on a relaxed structure of Zn2FePt.

- calculated volume (Å³/cell) = 111.7
- energy of formation from the pure elements (eV per atom) = -0.203
- total magnetization (μB per formula unit) = 2.7

Structure (CIF):
```
data_Zn2FePt
_cell_length_a 3.817
_cell_length_b 3.817
_cell_length_c 7.666
_cell_angle_alpha 90.00
_cell_angle_beta 90.00
_cell_angle_gamma 90.00
_symmetry_space_group_name_H-M 'I 4/m m m'
_symmetry_Int_Tables_number 139
_symmetry_space_group_name_Hall '-I 4 2'
loop_
_atom_site_label
_atom_site_type_symbol
_atom_site_fract_x
_atom_site_fract_y
_atom_site_fract_z
Zn1 Zn 0.000 0.500 0.250
Fe1 Fe 0.000 0.000 0.000
Pt1 Pt 0.000 0.000 0.500
```

---

# 2
VASP calculation (PBE) on a relaxed structure of ZnFePt2.

- calculated volume (Å³/cell) = 116.1
- energy of formation from the pure elements (eV per atom) = -0.280
- total magnetization (μB per formula unit) = 3.5

Structure (CIF):
```
data_ZnFePt2
_cell_length_a 3.795
_cell_length_b 3.795
_cell_length_c 8.063
_cell_angle_alpha 90.00
_cell_angle_beta 90.00
_cell_angle_gamma 90.00
_symmetry_space_group_name_H-M 'I -4 m 2'
_symmetry_Int_Tables_number 119
_symmetry_space_group_name_Hall 'I -4 -2'
loop_
_atom_site_label
_atom_site_type_symbol
_atom_site_fract_x
_atom_site_fract_y
_atom_site_fract_z
Zn1 Zn 0.000 0.000 0.000
Fe1 Fe 0.000 0.500 0.750
Pt1 Pt 0.000 0.000 0.500
Pt2 Pt 0.000 0.500 0.250
```

---

# 3
VASP calculation (PBE) on a relaxed structure of ZnFePt2.

- calculated volume (Å³/cell) = 115.3
- energy of formation from the pure elements (eV per atom) = -0.363
- total magnetization (μB per formula unit) = 3.6

Structure (CIF):
```
data_ZnFePt2
_cell_length_a 5.687
_cell_length_b 7.195
_cell_length_c 2.817
_cell_angle_alpha 90.00
_cell_angle_beta 90.00
_cell_angle_gamma 90.00
_symmetry_space_group_name_H-M 'C m m m'
_symmetry_Int_Tables_number 65
_symmetry_space_group_name_Hall '-C 2 2'
loop_
_atom_site_label
_atom_site_type_symbol
_atom_site_fract_x
_atom_site_fract_y
_atom_site_fract_z
Zn1 Zn 0.000 0.000 0.000
Fe1 Fe 0.000 0.500 0.000
Pt1 Pt 0.250 0.250 0.500
```

---

# 4
VASP calculation (PBE) on a relaxed structure of ZnFe2Pt3.

- calculated volume (Å³/cell) = 85.5
- energy of formation from the pure elements (eV per atom) = -0.351
- total magnetization (μB per formula unit) = 6.8

Structure (CIF):
```
data_ZnFe2Pt3
_cell_length_a 2.782
_cell_length_b 2.782
_cell_length_c 11.045
_cell_angle_alpha 90.00
_cell_angle_beta 90.00
_cell_angle_gamma 90.00
_symmetry_space_group_name_H-M 'P 4/m m m'
_symmetry_Int_Tables_number 123
_symmetry_space_group_name_Hall '-P 4 2'
loop_
_atom_site_label
_atom_site_type_symbol
_atom_site_fract_x
_atom_site_fract_y
_atom_site_fract_z
Zn1 Zn 0.000 0.000 0.000
Fe1 Fe 0.000 0.000 0.333
Pt1 Pt 0.500 0.500 0.169
Pt2 Pt 0.500 0.500 0.500
```

---

# 5
VASP calculation (PBE) on a relaxed structure of Zn4FePt5.

- calculated volume (Å³/cell) = 145.3
- energy of formation from the pure elements (eV per atom) = -0.495
- total magnetization (μB per formula unit) = 3.6

Structure (CIF):
```
data_Zn4FePt5
_cell_length_a 2.857
_cell_length_b 2.857
_cell_length_c 17.799
_cell_angle_alpha 90.00
_cell_angle_beta 90.00
_cell_angle_gamma 90.00
_symmetry_space_group_name_H-M 'P 4/m m m'
_symmetry_Int_Tables_number 123
_symmetry_space_group_name_Hall '-P 4 2'
loop_
_atom_site_label
_atom_site_type_symbol
_atom_site_fract_x
_atom_site_fract_y
_atom_site_fract_z
Zn1 Zn 0.000 0.000 0.100
Zn2 Zn 0.000 0.000 0.300
Fe1 Fe 0.000 0.000 0.500
Pt1 Pt 0.500 0.500 0.000
Pt2 Pt 0.500 0.500 0.200
Pt3 Pt 0.500 0.500 0.401
```

---

# 6
VASP calculation (PBE) on a relaxed structure of ZnFe2Pt7.

- calculated volume (Å³/cell) = 376.8
- energy of formation from the pure elements (eV per atom) = 0.285
- total magnetization (μB per formula unit) = 7.2

Structure (CIF):
```
data_ZnFe2Pt7
_cell_length_a 7.190
_cell_length_b 12.410
_cell_length_c 4.223
_cell_angle_alpha 90.00
_cell_angle_beta 90.00
_cell_angle_gamma 90.00
_symmetry_space_group_name_H-M 'C m m m'
_symmetry_Int_Tables_number 65
_symmetry_space_group_name_Hall '-C 2 2'
loop_
_atom_site_label
_atom_site_type_symbol
_atom_site_fract_x
_atom_site_fract_y
_atom_site_fract_z
Zn1 Zn 0.000 0.000 0.000
Fe1 Fe 0.000 0.299 0.500
Pt1 Pt 0.000 0.201 0.000
Pt2 Pt 0.000 0.500 0.500
Pt3 Pt 0.190 0.111 0.500
```

---

# 7
VASP calculation (PBE) on a relaxed structure of ZnFe3Pt12.

- calculated volume (Å³/cell) = 240.7
- energy of formation from the pure elements (eV per atom) = -0.255
- total magnetization (μB per formula unit) = 14.0

Structure (CIF):
```
data_ZnFe3Pt12
_cell_length_a 3.926
_cell_length_b 3.926
_cell_length_c 15.614
_cell_angle_alpha 90.00
_cell_angle_beta 90.00
_cell_angle_gamma 90.00
_symmetry_space_group_name_H-M 'P 4/m m m'
_symmetry_Int_Tables_number 123
_symmetry_space_group_name_Hall '-P 4 2'
loop_
_atom_site_label
_atom_site_type_symbol
_atom_site_fract_x
_atom_site_fract_y
_atom_site_fract_z
Zn1 Zn 0.000 0.000 0.000
Fe1 Fe 0.000 0.000 0.248
Fe2 Fe 0.000 0.000 0.500
Pt1 Pt 0.000 0.500 0.127
Pt2 Pt 0.000 0.500 0.375
Pt3 Pt 0.500 0.500 0.000
Pt4 Pt 0.500 0.500 0.251
Pt5 Pt 0.500 0.500 0.500
```

---

# 8
VASP calculation (PBE) on a relaxed structure of Zn2FePt.

- calculated volume (Å³/cell) = 171.9
- energy of formation from the pure elements (eV per atom) = -0.098
- total magnetization (μB per formula unit) = 2.7

Structure (CIF):
```
data_Zn2FePt
_cell_length_a 2.7313
_cell_length_b 2.7313
_cell_length_c 26.6153
_cell_angle_alpha 90.00
_cell_angle_beta 90.00
_cell_angle_gamma 120.00
_symmetry_space_group_name_H-M 'R 3 m'
_symmetry_Int_Tables_number 160
_symmetry_space_group_name_Hall 'R 3 -2"'
loop_
_atom_site_label
_atom_site_type_symbol
_atom_site_fract_x
_atom_site_fract_y
_atom_site_fract_z
Zn1 Zn 0.0000 0.0000 0.0000
Zn2 Zn 0.0000 0.0000 0.2435
Fe1 Fe 0.0000 0.0000 0.7447
Pt1 Pt 0.0000 0.0000 0.4921
```

---

# 9
VASP calculation (PBE) on a relaxed structure of Zn3FePt4.

- calculated volume (Å³/cell) = 232.8
- energy of formation from the pure elements (eV per atom) = -0.451
- total magnetization (μB per formula unit) = 3.5

Structure (CIF):
```
data_Zn3FePt4
_cell_length_a 8.958
_cell_length_b 5.671
_cell_length_c 4.583
_cell_angle_alpha 90.00
_cell_angle_beta 90.00
_cell_angle_gamma 90.00
_symmetry_space_group_name_H-M 'P m m a'
_symmetry_Int_Tables_number 51
loop_
_symmetry_equiv_pos_as_xyz
'x,y,z'
'-x,-y,-z'
'-x+1/2,-y,z'
'x+1/2,y,-z'
'x+1/2,-y,-z'
'-x+1/2,y,z'
'-x,y,-z'
'x,-y,z'
loop_
_atom_site_label
_atom_site_type_symbol
_atom_site_fract_x
_atom_site_fract_y
_atom_site_fract_z
Zn1 Zn 0.000 0.000 0.000
Zn2 Zn 0.250 0.000 0.402
Zn3 Zn 0.250 0.500 0.398
Fe1 Fe 0.000 0.500 0.000
Pt1 Pt 0.000 0.251 0.500
Pt2 Pt 0.250 0.252 0.901
```

---

# 10
VASP calculation (PBE) on a relaxed structure of Zn2FePt3.

- calculated volume (Å³/cell) = 87.5
- energy of formation from the pure elements (eV per atom) = -0.395
- total magnetization (μB per formula unit) = 3.7

Structure (CIF):
```
data_Zn2FePt3
_cell_length_a 3.185
_cell_length_b 3.185
_cell_length_c 8.627
_cell_angle_alpha 90.00
_cell_angle_beta 90.00
_cell_angle_gamma 90.00
_symmetry_space_group_name_H-M 'P 4/m m m'
_symmetry_Int_Tables_number 123
_symmetry_space_group_name_Hall '-P 4 2'
loop_
_atom_site_label
_atom_site_type_symbol
_atom_site_fract_x
_atom_site_fract_y
_atom_site_fract_z
Zn1 Zn 0.000 0.000 0.168
Fe1 Fe 0.000 0.000 0.500
Pt1 Pt 0.500 0.500 0.000
Pt2 Pt 0.500 0.500 0.337
```

---

# 11
VASP calculation (PBE) on a relaxed structure of ZnFePt2.

- calculated volume (Å³/cell) = 58.3
- energy of formation from the pure elements (eV per atom) = -0.282
- total magnetization (μB per formula unit) = 3.4

Structure (CIF):
```
data_ZnFePt2
_cell_length_a 2.758
_cell_length_b 3.938
_cell_length_c 5.365
_cell_angle_alpha 90.00
_cell_angle_beta 90.00
_cell_angle_gamma 90.00
_symmetry_space_group_name_H-M 'P m m 2'
_symmetry_Int_Tables_number 25
loop_
_symmetry_equiv_pos_as_xyz
'x,y,z'
'-x,-y,z'
'-x,y,z'
'x,-y,z'
loop_
_atom_site_label
_atom_site_type_symbol
_atom_site_fract_x
_atom_site_fract_y
_atom_site_fract_z
Zn1 Zn 0.000 0.000 0.000
Fe1 Fe 0.500 0.500 0.279
Pt1 Pt 0.000 0.000 0.483
Pt2 Pt 0.500 0.500 0.791
```

---

# 12
VASP calculation (PBE) on a relaxed structure of ZnFePt2.

- calculated volume (Å³/cell) = 173.0
- energy of formation from the pure elements (eV per atom) = -0.192
- total magnetization (μB per formula unit) = 2.7

Structure (CIF):
```
data_ZnFePt2
_cell_length_a 2.7479
_cell_length_b 2.7479
_cell_length_c 26.4524
_cell_angle_alpha 90.00
_cell_angle_beta 90.00
_cell_angle_gamma 120.00
_symmetry_space_group_name_H-M 'R 3 m'
_symmetry_Int_Tables_number 160
_symmetry_space_group_name_Hall 'R 3 -2"'
loop_
_atom_site_label
_atom_site_type_symbol
_atom_site_fract_x
_atom_site_fract_y
_atom_site_fract_z
Zn1 Zn 0.0000 0.0000 0.0000
Fe1 Fe 0.0000 0.0000 0.2544
Pt1 Pt 0.0000 0.0000 0.5082
Pt2 Pt 0.0000 0.0000 0.7480
```